No. 1
Tb2Ga4Cu3, optimized geometry, DFT GGA-PBE; formation energy = -0.4194 eV per atom; calculated total energy = -4.16 eV per atom
1.0
-2.874 -1.818 -4.467
4.625 -5.893 -0.576
-3.047 -3.049 6.729
Ga Tb Cu
8 4 6
Cartesian
-0.129 -2.428 -0.693
-0.659 -5.350 -0.926
-0.637 -5.411 2.612
-1.565 -3.337 -2.926
-1.168 -8.333 2.379
-4.257 -3.538 0.651
0.269 -7.424 4.613
2.961 -7.222 1.035
1.784 -4.377 0.634
-3.080 -6.384 1.053
1.766 -7.094 -1.776
-3.062 -3.667 3.463
1.780 -6.090 3.098
0.876 -3.856 -2.521
0.343 -6.999 0.864
-1.639 -3.762 0.822
0.000 0.000 0.000
-3.076 -4.671 -1.411

---

No. 2
Tb2Ga2Cu, optimized geometry, DFT GGA-PBE; formation energy = -0.5527 eV per atom; calculated total energy = -4.43 eV per atom
1.0
4.364 0.000 0.000
2.182 5.230 -0.295
2.182 0.303 9.315
Ga Tb Cu
4 4 2
Cartesian
2.182 1.616 5.162
6.545 4.695 7.990
6.545 3.917 3.859
2.182 0.838 1.030
2.182 3.861 0.798
6.545 1.671 8.223
4.364 1.647 3.020
4.364 3.886 6.000
4.364 4.767 2.962
4.364 0.765 6.059

---

No. 3
Tb2Ga5Cu, optimized geometry, DFT GGA-PBE; formation energy = -0.4628 eV per atom; calculated total energy = -4.02 eV per atom
1.0
6.068 -0.086 -0.123
-3.063 5.239 0.123
-3.063 -1.667 4.969
Tb Cu Ga
2 1 5
Cartesian
-0.148 3.539 1.372
-0.148 0.086 3.795
-5.346 3.118 4.444
-3.174 3.453 1.514
1.500 0.976 1.391
-3.174 0.249 3.762
-1.455 0.849 1.210
-1.780 2.640 3.762

---

No. 4
TbGa12Cu4, optimized geometry, DFT GGA-PBE; formation energy = -0.0401 eV per atom; calculated total energy = -3.41 eV per atom
1.0
7.451 0.000 0.000
-2.484 7.025 0.000
-2.484 -3.513 6.084
Ga Cu Tb
12 4 1
Cartesian
-0.016 3.623 3.979
0.937 2.983 0.957
4.031 -1.192 3.979
2.500 -0.110 2.105
3.421 2.850 3.022
0.016 -1.635 5.127
-0.937 0.663 3.062
1.547 0.530 5.127
2.468 5.148 0.957
-2.468 1.745 4.936
4.951 1.768 1.148
-1.547 4.705 2.105
3.726 0.000 0.000
1.242 1.756 3.042
-1.242 3.513 0.000
-1.242 -1.756 3.042
0.000 0.000 0.000

---

No. 5
Tb2Ga3Cu2, optimized geometry, DFT GGA-PBE; formation energy = -0.4656 eV per atom; calculated total energy = -4.26 eV per atom; ΔE to the lowest computed polymorph = 25 meV/atom
1.0
-2.782 -3.082 -0.849
3.896 0.481 -3.936
2.138 -3.367 5.212
Ga Tb Cu
3 2 2
Cartesian
-1.391 -1.541 -0.425
0.067 -3.228 0.920
3.185 -2.740 -0.493
0.834 -3.032 -2.307
2.418 -2.936 2.733
1.245 -1.129 0.018
2.007 -4.838 0.408

---

No. 6
Tb2Ga3Cu2, optimized geometry, DFT GGA-PBE; formation energy = -0.4907 eV per atom; calculated total energy = -4.28 eV per atom; ΔE to the lowest computed polymorph = 0 meV/atom
1.0
4.102 0.000 -0.978
0.000 6.944 0.000
0.065 0.000 9.363
Ga Cu Tb
6 4 4
Cartesian
0.948 5.208 3.976
1.852 6.459 7.768
1.852 3.957 7.768
2.314 0.485 0.617
3.219 1.736 4.409
2.314 2.987 0.617
2.855 6.510 2.886
1.311 0.434 5.499
1.311 3.038 5.499
2.855 3.906 2.886
0.677 1.736 2.838
3.490 5.208 5.547
3.936 1.736 7.417
0.231 5.208 0.968